P | {
  "formula": "BaAs2Br",
  "functional": "PBEsol",
  "state": "optimized geometry",
  "cell": [[4.677, 0.000, 0.000], [0.000, 4.677, 0.000], [0.000, 0.000, 6.195]],
  "species": ["Ba", "As", "As", "Br"],
  "fractional_positions": [[0.000, 0.000, 0.000], [0.500, 0.500, 0.182], [0.500, 0.500, 0.818], [0.000, 0.000, 0.500]],
  "crystal_system": "tetragonal"
}



Q | {
  "formula": "BaAs2Br",
  "functional": "PBEsol",
  "state": "optimized geometry",
  "cell": [[2.782, -3.518, 0.000], [2.782, 3.518, 0.000], [0.000, 0.000, 6.120]],
  "species": ["Ba", "As", "As", "Br"],
  "fractional_positions": [[0.000, 0.000, 0.000], [0.500, 0.500, 0.309], [0.500, 0.500, 0.691], [0.000, 0.000, 0.500]],
  "crystal_system": "orthorhombic"
}



From most stable to least stable, the computed energies give P, Q.